# CoSi8

CoSi8 at its PBEsol-relaxed geometry (meta-GGA SCAN, Alexandria).

Cell lengths 5.807, 5.807, 5.807 Å; angles 96.71, 96.71, 140.01 degrees
Fractional coordinates of all 9 atoms:
Co  0.000  0.000  0.000
Si  0.000  0.324  0.324
Si  0.000  0.676  0.676
Si  0.324  0.000  0.324
Si  0.339  0.339  0.678
Si  0.339  0.661  0.000
Si  0.661  0.339  0.000
Si  0.661  0.661  0.322
Si  0.676  0.000  0.676

- Space group: I4/mmm, No. 139
- Crystal system: tetragonal
- ΔE_f (raw): 515 meV per atom

---

# LiCuRh2

LiCuRh2 at its PBEsol-relaxed geometry (meta-GGA SCAN, Alexandria).

Cell lengths 4.585, 4.585, 4.437 Å; angles 100.09, 100.09, 33.63 degrees
Fractional coordinates of all 4 atoms:
Li  0.000  0.000  0.000
Cu  0.753  0.753  0.191
Rh  0.241  0.241  0.686
Rh  0.495  0.495  0.500

- Calculated formation energy: -5.1 kJ/mol of atoms
- Space group: Cm, No. 8
- Crystal system: monoclinic

---

# BaYTa2

BaYTa2 at its PBEsol-relaxed geometry (meta-GGA SCAN, Alexandria).

Cell lengths 3.523, 3.523, 8.944 Å; angles 90.00, 90.00, 90.00 degrees
Fractional coordinates of all 4 atoms:
Ba  0.000  0.000  0.000
Y  0.500  0.500  0.628
Ta  0.000  0.000  0.411
Ta  0.500  0.500  0.283

- Calculated formation energy: 44.2 kJ/mol of atoms
- Space group: P4mm, No. 99
- Crystal system: tetragonal

---

# Li6Fe5CoO12

Li6Fe5CoO12 at its PBEsol-relaxed geometry (meta-GGA SCAN, Alexandria).

Cell lengths 4.822, 4.822, 9.661 Å; angles 94.73, 94.73, 120.11 degrees
Fractional coordinates of all 24 atoms:
Li  0.079  0.747  0.742
Li  0.253  0.921  0.258
Li  0.411  0.411  0.742
Li  0.589  0.589  0.258
Li  0.747  0.079  0.742
Li  0.921  0.253  0.258
Fe  0.167  0.833  0.000
Fe  0.333  0.667  0.500
Fe  0.500  0.500  0.000
Fe  0.667  0.333  0.500
Fe  0.833  0.167  0.000
Co  0.000  0.000  0.500
O  0.036  0.368  0.609
O  0.129  0.129  0.889
O  0.204  0.537  0.112
O  0.296  0.296  0.391
O  0.368  0.036  0.609
O  0.463  0.796  0.888
O  0.537  0.204  0.112
O  0.632  0.964  0.391
O  0.704  0.704  0.609
O  0.796  0.463  0.888
O  0.871  0.871  0.111
O  0.964  0.632  0.391

- Space group: C2/m, No. 12
- Crystal system: monoclinic
- ΔE_f (raw): -1857 meV per atom

---

| no. | M_tot (μB per formula unit) |
| --- | --- |
| 1 | 0.00 |
| 2 | 0.00 |
| 3 | 0.00 |
| 4 | 5.00 |